Here is an optimized crystal structure of La2ZrCdS from the Alexandria database. Energies are from GGA-PBE.

```
5
Lattice="5.822 0.000 0.000 0.000 5.822 0.000 0.000 0.000 4.893" Properties=species:S:1:pos:R:3 pbc="T T T"
La 0.000 2.911 0.000
La 2.911 0.000 0.000
Zr 0.000 0.000 0.000
Cd 2.911 2.911 2.447
S 0.000 0.000 2.447
```

Output
Total magnetization   0.0 μB per formula unit
Raw formation energy   -0.03 eV/atom



Here is an optimized crystal structure of Na4Pm3BeO8 from the Alexandria database. Energies are from GGA-PBE.

```
16
Lattice="6.217 -3.306 0.000 6.217 3.306 0.000 -3.486 0.000 5.693" Properties=species:S:1:pos:R:3 pbc="T T T"
Na 0.000 0.000 0.000
Na 3.108 1.653 0.000
Na 3.108 -1.653 0.000
Na 6.217 0.000 0.000
Pm -1.743 0.000 2.847
Pm 1.365 1.653 2.847
Pm 1.365 -1.653 2.847
Be 4.473 0.000 2.847
O 1.806 0.000 1.288
O 0.271 0.000 4.083
O 3.599 1.295 3.789
O 5.348 1.295 1.904
O 3.599 -1.295 3.789
O 5.348 -1.295 1.904
O 8.676 0.000 1.610
O 7.141 0.000 4.405
```

Output
Total magnetization   1.1 μB per formula unit
Raw formation energy   -2.23 eV/atom



Here is an optimized crystal structure of AcErTl from the Alexandria database. Energies are from GGA-PBE.

```
12
Lattice="7.684 0.000 0.000 0.000 7.684 0.000 0.000 0.000 7.684" Properties=species:S:1:pos:R:3 pbc="T T T"
Ac 0.000 0.000 0.000
Ac 0.000 3.842 3.842
Ac 3.842 0.000 3.842
Ac 3.842 3.842 0.000
Er 0.000 0.000 3.842
Er 0.000 3.842 0.000
Er 3.842 0.000 0.000
Er 3.842 3.842 3.842
Tl 1.921 1.921 5.763
Tl 1.921 5.763 1.921
Tl 5.763 1.921 1.921
Tl 5.763 5.763 5.763
```

Output
Total magnetization   0.0 μB per formula unit
Energy relative to the elements   0.7 kJ per mole of atoms
Distance to the lowest polymorph of the same formula   0.259 eV/atom



Here is an optimized crystal structure of La4S3NCl3 from the Alexandria database. Energies are from GGA-PBE.

```
22
Lattice="9.478 0.000 0.000 -4.739 8.208 0.000 0.000 0.000 7.024" Properties=species:S:1:pos:R:3 pbc="T T T"
La 0.000 3.306 0.000
La -1.876 6.555 0.000
La 0.000 5.472 3.226
La 2.863 1.653 3.512
La 1.876 6.555 0.000
La 4.739 2.736 6.738
La 6.615 1.653 3.512
La 4.739 4.902 3.512
S -1.917 4.366 5.058
S 1.917 4.366 5.058
S 0.000 7.685 5.058
S 4.739 0.523 1.546
S 2.822 3.843 1.546
S 6.656 3.843 1.546
N 0.000 5.472 0.800
N 4.739 2.736 4.312
Cl 0.000 2.166 2.744
Cl -2.863 7.125 2.744
Cl 1.876 1.083 6.256
Cl 2.863 7.125 2.744
Cl 7.602 1.083 6.256
Cl 4.739 6.042 6.256
```

Output
Total magnetization   0.0 μB per formula unit
Raw formation energy   -2.23 eV/atom



Here is an optimized crystal structure of La4CeCd5 from the Alexandria database. Energies are from GGA-PBE.

```
10
Lattice="3.924 0.000 0.000 0.000 3.924 0.000 0.000 0.000 19.482" Properties=species:S:1:pos:R:3 pbc="T T T"
La 0.000 0.000 1.967
La 0.000 0.000 5.911
La 0.000 0.000 13.571
La 0.000 0.000 17.515
Ce 0.000 0.000 9.741
Cd 1.962 1.962 0.000
Cd 1.962 1.962 3.931
Cd 1.962 1.962 7.883
Cd 1.962 1.962 11.599
Cd 1.962 1.962 15.551
```

Output
Total magnetization   2.8 μB per formula unit
Energy relative to the elements   -27.5 kJ per mole of atoms



Here is an optimized crystal structure of MgNi2Rh2 from the Alexandria database. Energies are from GGA-PBE.

```
10
Lattice="3.424 0.000 0.000 0.000 3.424 0.000 0.000 0.000 12.499" Properties=species:S:1:pos:R:3 pbc="T T T"
Mg 0.000 0.000 0.000
Mg 1.712 1.712 6.250
Ni 0.000 1.712 3.125
Ni 0.000 1.712 9.375
Ni 1.712 0.000 3.125
Ni 1.712 0.000 9.375
Rh 0.000 0.000 4.949
Rh 0.000 0.000 7.550
Rh 1.712 1.712 1.301
Rh 1.712 1.712 11.199
```

Output
Total magnetization   1.9 μB per formula unit
Energy relative to the elements   8.8 kJ per mole of atoms
Distance to the lowest polymorph of the same formula   0.128 eV/atom



Here is an optimized crystal structure of Ac2ScGa3Rh4 from the Alexandria database. Energies are from GGA-PBE.

```
10
Lattice="4.342 0.000 0.000 0.000 4.342 0.000 0.000 0.000 10.895" Properties=species:S:1:pos:R:3 pbc="T T T"
Ac 0.000 2.171 2.531
Ac 2.171 0.000 8.365
Sc 0.000 0.000 5.448
Ga 0.000 2.171 9.631
Ga 2.171 0.000 1.265
Ga 2.171 2.171 5.448
Rh 0.000 0.000 0.000
Rh 0.000 2.171 7.005
Rh 2.171 0.000 3.890
Rh 2.171 2.171 0.000
```

Output
Total magnetization   0.0 μB per formula unit
Energy relative to the elements   -79.5 kJ per mole of atoms



Here is an optimized crystal structure of CuSbIrO6 from the Alexandria database. Energies are from GGA-PBE.

```
18
Lattice="5.225 0.000 0.000 -2.612 4.525 0.000 0.000 0.000 8.833" Properties=species:S:1:pos:R:3 pbc="T T T"
Cu 0.000 0.000 0.000
Cu 0.000 0.000 4.416
Sb 0.000 3.017 2.208
Sb 2.612 1.508 6.625
Ir 0.000 3.017 6.625
Ir 2.612 1.508 2.208
O -0.887 1.616 5.551
O -1.656 2.948 7.698
O 0.887 1.616 7.698
O -0.769 4.485 5.551
O 1.843 0.040 1.135
O 0.956 1.576 3.282
O 1.656 2.948 5.551
O 0.769 4.485 7.698
O 3.381 0.040 3.282
O 1.725 2.908 1.135
O 4.268 1.576 1.135
O 3.499 2.908 3.282
```

Output
Total magnetization   0.6 μB per formula unit
Raw formation energy   -0.83 eV/atom



Here is an optimized crystal structure of Sc2TeAu2 from the Alexandria database. Energies are from GGA-PBE.

```
10
Lattice="7.606 0.000 0.000 0.000 7.606 0.000 0.000 0.000 3.882" Properties=species:S:1:pos:R:3 pbc="T T T"
Sc 1.224 2.579 0.000
Sc 2.579 6.382 0.000
Sc 5.027 1.224 0.000
Sc 6.382 5.027 0.000
Te 0.000 0.000 0.000
Te 3.803 3.803 0.000
Au 1.013 4.816 1.941
Au 2.790 1.013 1.941
Au 4.816 6.593 1.941
Au 6.593 2.790 1.941
```

Output
Total magnetization   0.0 μB per formula unit
Raw formation energy   -0.69 eV/atom
Distance to the lowest polymorph of the same formula   0.006 eV/atom



Here is an optimized crystal structure of K2DyHg2Se4 from the Alexandria database. Energies are from GGA-PBE.

```
9
Lattice="8.268 -2.100 0.000 8.268 2.100 0.000 -3.426 0.000 7.617" Properties=species:S:1:pos:R:3 pbc="T T T"
K 1.845 0.000 0.522
K 11.266 0.000 7.095
Dy -1.713 0.000 3.809
Hg 3.487 0.000 3.636
Hg 9.624 0.000 3.981
Se 0.577 0.000 5.611
Se 5.464 0.000 5.534
Se 7.647 0.000 2.083
Se 12.534 0.000 2.007
```

Output
Total magnetization   0.0 μB per formula unit
Raw formation energy   -0.97 eV/atom



Here is an optimized crystal structure of KRbAsNCl from the Alexandria database. Energies are from GGA-PBE.

```
10
Lattice="19.839 0.000 0.000 0.000 4.086 0.000 -0.826 0.000 4.001" Properties=species:S:1:pos:R:3 pbc="T T T"
K 0.000 0.000 0.000
K 9.919 2.043 0.000
Rb 3.832 2.043 2.945
Rb 13.752 0.000 2.945
As 7.108 0.000 1.505
As 17.027 2.043 1.505
N 8.768 0.000 1.848
N 18.688 2.043 1.848
Cl 2.990 0.000 0.687
Cl 12.909 2.043 0.687
```

Output
Total magnetization   0.0 μB per formula unit
Raw formation energy   -0.62 eV/atom
Distance to the lowest polymorph of the same formula   0.004 eV/atom



Here is an optimized crystal structure of NdHoI from the Alexandria database. Energies are from GGA-PBE.

```
12
Lattice="3.729 0.000 0.000 0.000 19.298 0.000 0.000 0.000 5.580" Properties=species:S:1:pos:R:3 pbc="T T T"
Nd 0.000 2.518 1.395
Nd 0.000 16.780 4.185
Nd 1.864 7.131 4.185
Nd 1.864 12.167 1.395
Ho 0.000 9.052 1.395
Ho 0.000 10.246 4.185
Ho 1.864 0.597 4.185
Ho 1.864 18.701 1.395
I 0.000 5.938 1.395
I 0.000 13.360 4.185
I 1.864 3.711 4.185
I 1.864 15.587 1.395
```

Output
Total magnetization   0.0 μB per formula unit
Raw formation energy   -0.44 eV/atom
Distance to the lowest polymorph of the same formula   0.091 eV/atom